# 1
# Nd8MgCd2, optimized geometry, DFT PBE
data_Nd8MgCd2
_cell_length_a 5.581
_cell_length_b 8.838
_cell_length_c 8.816
_cell_angle_alpha 119.58
_cell_angle_beta 108.45
_cell_angle_gamma 90.00
_symmetry_space_group_name_H-M 'P 1'
_symmetry_Int_Tables_number 1
_symmetry_space_group_name_Hall 'P 1'
loop_
_atom_site_label
_atom_site_fract_x
_atom_site_fract_y
_atom_site_fract_z
Cd1 0.769 0.376 0.538
Cd2 0.231 0.624 0.462
Nd1 0.069 0.725 0.138
Nd2 0.682 0.948 0.364
Nd3 0.407 0.547 0.814
Nd4 0.318 0.052 0.636
Nd5 0.593 0.453 0.186
Nd6 0.862 0.809 0.724
Nd7 0.138 0.191 0.276
Nd8 0.931 0.275 0.862
Mg1 0.500 0.000 0.000
# Symmetry: C2/m, No. 12

---

# 2
# TiNbBi2, optimized geometry, DFT PBE
data_TiNbBi2
_cell_length_a 4.974
_cell_length_b 4.974
_cell_length_c 4.974
_cell_angle_alpha 60.00
_cell_angle_beta 60.00
_cell_angle_gamma 60.00
_symmetry_space_group_name_H-M 'P 1'
_symmetry_Int_Tables_number 1
_symmetry_space_group_name_Hall 'P 1'
loop_
_atom_site_label
_atom_site_fract_x
_atom_site_fract_y
_atom_site_fract_z
Nb1 0.500 0.500 0.500
Bi1 0.750 0.750 0.750
Bi2 0.250 0.250 0.250
Ti1 0.000 0.000 0.000
# Symmetry: Fm-3m, No. 225

---

The total magnetic moment results, record by record, are as follows: 0.0, 0.0 μB per formula unit.
The offset from the most stable computed form results, record by record, are as follows: 0.0, 0.0 meV per atom.
The theoretical density results, record by record, are as follows: 6.61, 10.66 g/cm3.